NaLaTl2 | PBE | relaxed

Calculated values
Energy of formation from the pure elements: -0.300 eV/atom
Density of states at the Fermi level: 0.214 states/eV per atom
Total magnetic moment: 0.0 μB per formula unit
Calculated volume: 117 Å³ per cell
E above lowest polymorph: 0.0 meV/atom

abc: 5.4969 5.4969 5.4969
angles: 60.00 60.00 60.00
Fractional coordinates of all 4 atoms:
Na 0.0000 0.0000 0.0000
La 0.5000 0.5000 0.5000
Tl 0.2500 0.2500 0.2500
Tl 0.7500 0.7500 0.7500

NaLaTl | PBE | relaxed

Calculated values
Energy of formation from the pure elements: -0.154 eV/atom
Density of states at the Fermi level: 0.657 states/eV per atom
Total magnetic moment: 0.2 μB per formula unit
Calculated volume: 90 Å³ per cell
E above lowest polymorph: 50.2 meV/atom

abc: 5.4475 5.4475 3.4990
angles: 90.00 90.00 120.00
Fractional coordinates of all 3 atoms:
Na 0.0000 0.0000 0.0000
La 0.3333 0.6667 0.5006
Tl 0.6667 0.3333 0.0016